Fe3OF5 | GGA+U | optimized geometry

Cell lengths 10.733, 10.733, 3.179 Å; angles 90.00, 90.00, 142.66 degrees
Positions (direct):
Fe (0.000, 0.000, 0.000)
Fe (0.154, 0.846, 0.500)
Fe (0.330, 0.670, 0.000)
Fe (0.500, 0.500, 0.500)
Fe (0.670, 0.330, 0.000)
Fe (0.846, 0.154, 0.500)
O (0.102, 0.898, 0.000)
O (0.898, 0.102, 0.000)
F (0.121, 0.464, 0.500)
F (0.209, 0.209, 0.500)
F (0.229, 0.771, 0.000)
F (0.429, 0.571, 0.000)
F (0.464, 0.121, 0.500)
F (0.536, 0.879, 0.500)
F (0.571, 0.429, 0.000)
F (0.771, 0.229, 0.000)
F (0.791, 0.791, 0.500)
F (0.879, 0.536, 0.500)

Values from the calculation:
* symmetry: No. 65
* ΔE to the lowest computed polymorph: 0.009 eV per atom